DFT (PBE) results for a geometry-optimized Zr2Al2CuAu structure.

The structure in CIF format:
```
data_Zr2Al2CuAu
_chemical_formula_sum 'Zr8 Al8 Cu4 Au4'
_cell_length_a 7.587
_cell_length_b 4.369
_cell_length_c 14.499
_cell_angle_alpha 90.00
_cell_angle_beta 99.83
_cell_angle_gamma 90.00
_space_group_name_H-M_alt 'P 1'
_space_group_IT_number 1
_space_group_name_Hall 'P 1'
loop_
_atom_site_label
_atom_site_type_symbol
_atom_site_fract_x
_atom_site_fract_y
_atom_site_fract_z
_atom_site_occupancy
Zr1 Zr 0.441 0.000 0.321 1
Zr2 Zr 0.941 0.500 0.321 1
Zr3 Zr 0.684 0.500 0.557 1
Zr4 Zr 0.175 0.500 0.058 1
Zr5 Zr 0.422 0.500 0.805 1
Zr6 Zr 0.188 0.000 0.563 1
Zr7 Zr 0.699 0.000 0.061 1
Zr8 Zr 0.950 0.000 0.815 1
Al1 Al 0.063 0.500 0.684 1
Al2 Al 0.313 0.500 0.444 1
Al3 Al 0.064 0.000 0.185 1
Al4 Al 0.816 0.500 0.936 1
Al5 Al 0.562 0.500 0.187 1
Al6 Al 0.309 0.000 0.934 1
Al7 Al 0.557 0.000 0.684 1
Al8 Al 0.816 0.000 0.444 1
Cu1 Cu 0.001 0.000 0.998 1
Cu2 Cu 0.499 0.000 0.503 1
Cu3 Cu 0.248 0.000 0.747 1
Cu4 Cu 0.002 0.500 0.504 1
Au1 Au 0.250 0.500 0.250 1
Au2 Au 0.751 0.000 0.252 1
Au3 Au 0.499 0.500 0.997 1
Au4 Au 0.749 0.500 0.749 1
```

Calculated values
Calculated total energy in eV per atom: -5.678
Space group: Pm (6)

DFT (PBE) results for a geometry-optimized NaBeCo structure.

The structure in CIF format:
```
data_NaBeCo
_chemical_formula_sum 'Na1 Be1 Co1'
_cell_length_a 4.001
_cell_length_b 4.001
_cell_length_c 4.001
_cell_angle_alpha 60.00
_cell_angle_beta 60.00
_cell_angle_gamma 60.00
_space_group_name_H-M_alt 'P 1'
_space_group_IT_number 1
_space_group_name_Hall 'P 1'
loop_
_atom_site_label
_atom_site_type_symbol
_atom_site_fract_x
_atom_site_fract_y
_atom_site_fract_z
_atom_site_occupancy
Na1 Na 0.250 0.250 0.250 1
Co1 Co 0.750 0.750 0.750 1
Be1 Be 0.000 0.000 0.000 1
```

Calculated values
Calculated total energy in eV per atom: -2.986
Relative energy among the computed polymorphs in meV per atom: 0.0
Space group: F-43m (216)

DFT (PBE) results for a geometry-optimized DyInCoSe3 structure.

The structure in CIF format:
```
data_DyInCoSe3
_chemical_formula_sum 'Dy2 In2 Co2 Se6'
_cell_length_a 3.969
_cell_length_b 7.470
_cell_length_c 10.639
_cell_angle_alpha 90.00
_cell_angle_beta 90.00
_cell_angle_gamma 74.59
_space_group_name_H-M_alt 'P 1'
_space_group_IT_number 1
_space_group_name_Hall 'P 1'
loop_
_atom_site_label
_atom_site_type_symbol
_atom_site_fract_x
_atom_site_fract_y
_atom_site_fract_z
_atom_site_occupancy
Se1 Se 0.369 0.261 0.576 1
Se2 Se 0.074 0.852 0.750 1
Se3 Se 0.631 0.739 0.424 1
Se4 Se 0.926 0.148 0.250 1
Se5 Se 0.369 0.261 0.924 1
Se6 Se 0.631 0.739 0.076 1
Co1 Co 0.525 0.951 0.250 1
Co2 Co 0.475 0.049 0.750 1
In1 In 0.245 0.510 0.250 1
In2 In 0.755 0.490 0.750 1
Dy1 Dy 0.000 0.000 0.500 1
Dy2 Dy 0.000 0.000 0.000 1
```

Calculated values
Calculated total energy in eV per atom: -4.996
Space group: Cmcm (63)

DFT (PBE) results for a geometry-optimized BeGeOsPb structure.

The structure in CIF format:
```
data_BeGeOsPb
_chemical_formula_sum 'Be1 Ge1 Os1 Pb1'
_cell_length_a 4.576
_cell_length_b 4.576
_cell_length_c 4.576
_cell_angle_alpha 60.00
_cell_angle_beta 60.00
_cell_angle_gamma 60.00
_space_group_name_H-M_alt 'P 1'
_space_group_IT_number 1
_space_group_name_Hall 'P 1'
loop_
_atom_site_label
_atom_site_type_symbol
_atom_site_fract_x
_atom_site_fract_y
_atom_site_fract_z
_atom_site_occupancy
Ge1 Ge 0.250 0.250 0.250 1
Pb1 Pb 0.500 0.500 0.500 1
Be1 Be 0.750 0.750 0.750 1
Os1 Os 0.000 0.000 0.000 1
```

Calculated values
Calculated total energy in eV per atom: -4.939
Relative energy among the computed polymorphs in meV per atom: 33.6
Space group: F-43m (216)

DFT (PBE) results for a geometry-optimized Nd2Fe14B structure.

The structure in CIF format:
```
data_Nd2Fe14B
_chemical_formula_sum 'Nd8 Fe56 B4'
_cell_length_a 8.763
_cell_length_b 8.763
_cell_length_c 12.136
_cell_angle_alpha 90.00
_cell_angle_beta 90.00
_cell_angle_gamma 90.00
_space_group_name_H-M_alt 'P 1'
_space_group_IT_number 1
_space_group_name_Hall 'P 1'
loop_
_atom_site_label
_atom_site_type_symbol
_atom_site_fract_x
_atom_site_fract_y
_atom_site_fract_z
_atom_site_occupancy
Fe1 Fe 0.402 0.598 0.705 1
Fe2 Fe 0.225 0.567 0.872 1
Fe3 Fe 0.037 0.360 0.824 1
Fe4 Fe 0.567 0.225 0.872 1
Fe5 Fe 0.902 0.902 0.205 1
Fe6 Fe 0.682 0.682 0.754 1
Fe7 Fe 0.000 0.500 0.000 1
Fe8 Fe 0.775 0.433 0.872 1
Fe9 Fe 0.000 0.500 0.500 1
Fe10 Fe 0.963 0.640 0.824 1
Fe11 Fe 0.433 0.775 0.128 1
Fe12 Fe 0.098 0.098 0.205 1
Fe13 Fe 0.860 0.463 0.676 1
Fe14 Fe 0.902 0.902 0.795 1
Fe15 Fe 0.682 0.682 0.246 1
Fe16 Fe 0.000 0.000 0.614 1
Fe17 Fe 0.182 0.818 0.746 1
Fe18 Fe 0.067 0.275 0.628 1
Fe19 Fe 0.140 0.537 0.676 1
Fe20 Fe 0.067 0.275 0.372 1
Fe21 Fe 0.500 0.000 0.500 1
Fe22 Fe 0.360 0.037 0.176 1
Fe23 Fe 0.275 0.067 0.628 1
Fe24 Fe 0.360 0.037 0.824 1
Fe25 Fe 0.037 0.360 0.176 1
Fe26 Fe 0.500 0.000 0.000 1
Fe27 Fe 0.463 0.860 0.676 1
Fe28 Fe 0.318 0.318 0.754 1
Fe29 Fe 0.000 0.000 0.386 1
Fe30 Fe 0.963 0.640 0.176 1
Fe31 Fe 0.567 0.225 0.128 1
Fe32 Fe 0.275 0.067 0.372 1
Fe33 Fe 0.140 0.537 0.324 1
Fe34 Fe 0.098 0.098 0.795 1
Fe35 Fe 0.225 0.567 0.128 1
Fe36 Fe 0.500 0.500 0.886 1
Fe37 Fe 0.500 0.500 0.114 1
Fe38 Fe 0.433 0.775 0.872 1
Fe39 Fe 0.598 0.402 0.705 1
Fe40 Fe 0.318 0.318 0.246 1
Fe41 Fe 0.640 0.963 0.824 1
Fe42 Fe 0.598 0.402 0.295 1
Fe43 Fe 0.933 0.725 0.628 1
Fe44 Fe 0.725 0.933 0.372 1
Fe45 Fe 0.537 0.140 0.676 1
Fe46 Fe 0.725 0.933 0.628 1
Fe47 Fe 0.463 0.860 0.324 1
Fe48 Fe 0.860 0.463 0.324 1
Fe49 Fe 0.640 0.963 0.176 1
Fe50 Fe 0.775 0.433 0.128 1
Fe51 Fe 0.182 0.818 0.254 1
Fe52 Fe 0.402 0.598 0.295 1
Fe53 Fe 0.818 0.182 0.254 1
Fe54 Fe 0.537 0.140 0.324 1
Fe55 Fe 0.818 0.182 0.746 1
Fe56 Fe 0.933 0.725 0.372 1
Nd1 Nd 0.768 0.232 0.500 1
Nd2 Nd 0.643 0.643 0.500 1
Nd3 Nd 0.232 0.768 0.500 1
Nd4 Nd 0.268 0.268 0.000 1
Nd5 Nd 0.357 0.357 0.500 1
Nd6 Nd 0.732 0.732 0.000 1
Nd7 Nd 0.143 0.857 0.000 1
Nd8 Nd 0.857 0.143 0.000 1
B1 B 0.624 0.376 0.000 1
B2 B 0.376 0.624 0.000 1
B3 B 0.124 0.124 0.500 1
B4 B 0.876 0.876 0.500 1
```

Calculated values
Calculated total energy in eV per atom: -7.852
Relative energy among the computed polymorphs in meV per atom: 0.0
Space group: P4_2/mnm (136)

DFT (PBE) results for a geometry-optimized Cs2Zr3 structure.

The structure in CIF format:
```
data_Cs2Zr3
_chemical_formula_sum 'Cs4 Zr6'
_cell_length_a 7.897
_cell_length_b 7.897
_cell_length_c 7.897
_cell_angle_alpha 60.85
_cell_angle_beta 60.85
_cell_angle_gamma 60.85
_space_group_name_H-M_alt 'P 1'
_space_group_IT_number 1
_space_group_name_Hall 'P 1'
loop_
_atom_site_label
_atom_site_type_symbol
_atom_site_fract_x
_atom_site_fract_y
_atom_site_fract_z
_atom_site_occupancy
Zr1 Zr 0.750 0.542 0.958 1
Zr2 Zr 0.250 0.458 0.042 1
Zr3 Zr 0.958 0.750 0.542 1
Zr4 Zr 0.042 0.250 0.458 1
Zr5 Zr 0.542 0.958 0.750 1
Zr6 Zr 0.458 0.042 0.250 1
Cs1 Cs 0.913 0.913 0.913 1
Cs2 Cs 0.587 0.587 0.587 1
Cs3 Cs 0.087 0.087 0.087 1
Cs4 Cs 0.413 0.413 0.413 1
```

Calculated values
Calculated total energy in eV per atom: -3.958
Space group: R-3c (167)

DFT (PBE) results for a geometry-optimized BeCuTcOs structure.

The structure in CIF format:
```
data_BeCuTcOs
_chemical_formula_sum 'Be1 Cu1 Tc1 Os1'
_cell_length_a 4.096
_cell_length_b 4.096
_cell_length_c 4.096
_cell_angle_alpha 60.00
_cell_angle_beta 60.00
_cell_angle_gamma 60.00
_space_group_name_H-M_alt 'P 1'
_space_group_IT_number 1
_space_group_name_Hall 'P 1'
loop_
_atom_site_label
_atom_site_type_symbol
_atom_site_fract_x
_atom_site_fract_y
_atom_site_fract_z
_atom_site_occupancy
Cu1 Cu 0.250 0.250 0.250 1
Be1 Be 0.750 0.750 0.750 1
Os1 Os 0.000 0.000 0.000 1
Tc1 Tc 0.500 0.500 0.500 1
```

Calculated values
Calculated total energy in eV per atom: -6.974
Relative energy among the computed polymorphs in meV per atom: 149.9
Space group: F-43m (216)

DFT (PBE) results for a geometry-optimized Nb2Hg structure.

The structure in CIF format:
```
data_Nb2Hg
_chemical_formula_sum 'Nb4 Hg2'
_cell_length_a 5.503
_cell_length_b 5.503
_cell_length_c 5.503
_cell_angle_alpha 60.00
_cell_angle_beta 60.00
_cell_angle_gamma 60.00
_space_group_name_H-M_alt 'P 1'
_space_group_IT_number 1
_space_group_name_Hall 'P 1'
loop_
_atom_site_label
_atom_site_type_symbol
_atom_site_fract_x
_atom_site_fract_y
_atom_site_fract_z
_atom_site_occupancy
Nb1 Nb 0.125 0.625 0.625 1
Nb2 Nb 0.625 0.625 0.125 1
Nb3 Nb 0.625 0.625 0.625 1
Nb4 Nb 0.625 0.125 0.625 1
Hg1 Hg 0.000 0.000 0.000 1
Hg2 Hg 0.250 0.250 0.250 1
```

Calculated values
Calculated total energy in eV per atom: -6.412
ΔH_f (0 K) in meV per atom: 416.5
Space group: Fd-3m (227)

DFT (PBE) results for a geometry-optimized AlFeSb2 structure.

The structure in CIF format:
```
data_AlFeSb2
_chemical_formula_sum 'Al1 Fe1 Sb2'
_cell_length_a 4.788
_cell_length_b 4.788
_cell_length_c 4.788
_cell_angle_alpha 60.00
_cell_angle_beta 60.00
_cell_angle_gamma 60.00
_space_group_name_H-M_alt 'P 1'
_space_group_IT_number 1
_space_group_name_Hall 'P 1'
loop_
_atom_site_label
_atom_site_type_symbol
_atom_site_fract_x
_atom_site_fract_y
_atom_site_fract_z
_atom_site_occupancy
Sb1 Sb 0.000 0.000 0.000 1
Sb2 Sb 0.750 0.750 0.750 1
Fe1 Fe 0.250 0.250 0.250 1
Al1 Al 0.500 0.500 0.500 1
```

Calculated values
Calculated total energy in eV per atom: -4.479
Space group: F-43m (216)

DFT (PBE) results for a geometry-optimized B3Ir structure.

The structure in CIF format:
```
data_B3Ir
_chemical_formula_sum 'B3 Ir1'
_cell_length_a 2.865
_cell_length_b 2.865
_cell_length_c 4.665
_cell_angle_alpha 90.00
_cell_angle_beta 90.00
_cell_angle_gamma 120.00
_space_group_name_H-M_alt 'P 1'
_space_group_IT_number 1
_space_group_name_Hall 'P 1'
loop_
_atom_site_label
_atom_site_type_symbol
_atom_site_fract_x
_atom_site_fract_y
_atom_site_fract_z
_atom_site_occupancy
B1 B 0.333 0.667 0.144 1
B2 B 0.000 0.000 0.000 1
B3 B 0.667 0.333 0.856 1
Ir1 Ir 0.000 0.000 0.500 1
```

Calculated values
Calculated total energy in eV per atom: -7.069
Relative energy among the computed polymorphs in meV per atom: 174.8
Space group: P-3m1 (164)